# 1
# PBE FeAsIr, relaxed
data_FeAsIr
_space_group_name_H-M_alt 'P 1'
_space_group_IT_number 1
_cell_length_a 4.732
_cell_length_b 4.732
_cell_length_c 5.887
_cell_angle_alpha 104.87
_cell_angle_beta 104.87
_cell_angle_gamma 48.29
loop_
_space_group_symop_operation_xyz
'x,y,z'
loop_
_atom_site_label
_atom_site_fract_x
_atom_site_fract_y
_atom_site_fract_z
Fe1 0.094 0.094 0.211
Fe2 0.906 0.906 0.789
As1 0.161 0.161 0.667
As2 0.839 0.839 0.333
Ir1 0.370 0.370 0.075
Ir2 0.630 0.630 0.925
# Energy of formation from the pure elements   -8 kJ/mol of formula units

=====

# 2
# PBE BaLa4Tl3O12, relaxed
data_BaLa4Tl3O12
_space_group_name_H-M_alt 'P 1'
_space_group_IT_number 1
_cell_length_a 7.698
_cell_length_b 7.698
_cell_length_c 7.698
_cell_angle_alpha 109.47
_cell_angle_beta 109.47
_cell_angle_gamma 109.47
loop_
_space_group_symop_operation_xyz
'x,y,z'
loop_
_atom_site_label
_atom_site_fract_x
_atom_site_fract_y
_atom_site_fract_z
Ba1 0.000 0.000 0.000
La1 0.000 0.000 0.500
La2 0.000 0.500 0.000
La3 0.500 0.000 0.000
La4 0.500 0.500 0.500
Tl1 0.000 0.500 0.500
Tl2 0.500 0.000 0.500
Tl3 0.500 0.500 0.000
O1 0.150 0.837 0.313
O2 0.163 0.313 0.476
O3 0.163 0.687 0.850
O4 0.313 0.150 0.837
O5 0.313 0.476 0.163
O6 0.476 0.163 0.313
O7 0.524 0.837 0.687
O8 0.687 0.524 0.837
O9 0.687 0.850 0.163
O10 0.837 0.313 0.150
O11 0.837 0.687 0.524
O12 0.850 0.163 0.687
# E_form (uncorrected)   -2.13 eV/atom